# Dy2GeCl (PBE, relaxed)
# Electronic total energy: -0.37452 Ry per atom
# Energy relative to the lowest polymorph listed for this composition: 0.000 eV per atom
data_Dy2GeCl
_chemical_formula_sum 'Dy6 Ge3 Cl3'
_cell_length_a 4.1697
_cell_length_b 4.1697
_cell_length_c 19.6245
_cell_angle_alpha 90.00
_cell_angle_beta 90.00
_cell_angle_gamma 120.00
_symmetry_space_group_name_H-M 'R -3 m'
_symmetry_Int_Tables_number 166
_symmetry_space_group_name_Hall '-R 3 2"'
loop_
_atom_site_label
_atom_site_type_symbol
_atom_site_fract_x
_atom_site_fract_y
_atom_site_fract_z
Dy1 Dy 0.0000 0.0000 0.2420
Ge1 Ge 0.0000 0.0000 0.5000
Cl1 Cl 0.0000 0.0000 0.0000

***

# Dy2GeCl (PBE, relaxed)
# Electronic total energy: -0.36933 Ry per atom
# Energy relative to the lowest polymorph listed for this composition: 0.071 eV per atom
data_Dy2GeCl
_chemical_formula_sum 'Dy6 Ge3 Cl3'
_cell_length_a 4.0746
_cell_length_b 4.0746
_cell_length_c 21.4811
_cell_angle_alpha 90.00
_cell_angle_beta 90.00
_cell_angle_gamma 120.00
_symmetry_space_group_name_H-M 'R 3 m'
_symmetry_Int_Tables_number 160
_symmetry_space_group_name_Hall 'R 3 -2"'
loop_
_atom_site_label
_atom_site_type_symbol
_atom_site_fract_x
_atom_site_fract_y
_atom_site_fract_z
Dy1 Dy 0.0000 0.0000 0.0000
Dy2 Dy 0.0000 0.0000 0.1927
Ge1 Ge 0.0000 0.0000 0.5974
Cl1 Cl 0.0000 0.0000 0.4254

***

# Dy2GeCl8 (PBE, relaxed)
# Electronic total energy: -0.32581 Ry per atom
data_Dy2GeCl8
_chemical_formula_sum 'Dy4 Ge2 Cl16'
_cell_length_a 20.1116
_cell_length_b 3.8333
_cell_length_c 8.6686
_cell_angle_alpha 90.00
_cell_angle_beta 99.67
_cell_angle_gamma 90.00
_symmetry_space_group_name_H-M 'C 1 2/m 1'
_symmetry_Int_Tables_number 12
loop_
_symmetry_equiv_pos_as_xyz
'x,y,z'
'-x,-y,-z'
'-x,y,-z'
'x,-y,z'
'x+1/2,y+1/2,z'
'-x+1/2,-y+1/2,-z'
'-x+1/2,y+1/2,-z'
'x+1/2,-y+1/2,z'
loop_
_atom_site_label
_atom_site_type_symbol
_atom_site_fract_x
_atom_site_fract_y
_atom_site_fract_z
Dy1 Dy 0.1570 0.0000 0.3347
Ge1 Ge 0.0000 0.5000 0.0000
Cl1 Cl 0.0120 0.0000 0.2174
Cl2 Cl 0.1066 0.5000 0.4908
Cl3 Cl 0.1355 0.5000 0.0897
Cl4 Cl 0.2400 0.0000 0.6486

***

# DyGeCl (PBE, relaxed)
# Electronic total energy: -0.35302 Ry per atom
data_DyGeCl
_chemical_formula_sum 'Dy8 Ge8 Cl8'
_cell_length_a 8.4758
_cell_length_b 11.5728
_cell_length_c 7.4787
_cell_angle_alpha 90.00
_cell_angle_beta 121.98
_cell_angle_gamma 90.00
_symmetry_space_group_name_H-M 'C 1 2/c 1'
_symmetry_Int_Tables_number 15
loop_
_symmetry_equiv_pos_as_xyz
'x,y,z'
'-x,-y,-z'
'-x,y,-z+1/2'
'x,-y,z+1/2'
'x+1/2,y+1/2,z'
'-x+1/2,-y+1/2,-z'
'-x+1/2,y+1/2,-z+1/2'
'x+1/2,-y+1/2,z+1/2'
loop_
_atom_site_label
_atom_site_type_symbol
_atom_site_fract_x
_atom_site_fract_y
_atom_site_fract_z
Dy1 Dy 0.0000 0.0661 0.2500
Dy2 Dy 0.0000 0.4071 0.7500
Ge1 Ge 0.1098 0.1669 0.9433
Cl1 Cl 0.1388 0.3886 0.4929

***

# KDyGeCl6 (PBE, relaxed)
# Electronic total energy: -0.30325 Ry per atom
data_KDyGeCl6
_chemical_formula_sum 'K2 Dy2 Ge2 Cl12'
_cell_length_a 6.9824
_cell_length_b 6.9824
_cell_length_c 13.7773
_cell_angle_alpha 90.00
_cell_angle_beta 90.00
_cell_angle_gamma 120.00
_symmetry_space_group_name_H-M 'P -3 1 c'
_symmetry_Int_Tables_number 163
_symmetry_space_group_name_Hall '-P 3 2c'
loop_
_atom_site_label
_atom_site_type_symbol
_atom_site_fract_x
_atom_site_fract_y
_atom_site_fract_z
K1 K 0.0000 0.0000 0.0000
Dy1 Dy 0.3333 0.6667 0.2500
Ge1 Ge 0.3333 0.6667 0.7500
Cl1 Cl 0.0041 0.3721 0.1407

***

# NaDyGeCl6 (PBE, relaxed)
# Electronic total energy: -0.30033 Ry per atom
data_NaDyGeCl6
_chemical_formula_sum 'Na2 Dy2 Ge2 Cl12'
_cell_length_a 6.8674
_cell_length_b 6.8674
_cell_length_c 12.5591
_cell_angle_alpha 90.00
_cell_angle_beta 90.00
_cell_angle_gamma 120.00
_symmetry_space_group_name_H-M 'P -3 1 c'
_symmetry_Int_Tables_number 163
_symmetry_space_group_name_Hall '-P 3 2c'
loop_
_atom_site_label
_atom_site_type_symbol
_atom_site_fract_x
_atom_site_fract_y
_atom_site_fract_z
Na1 Na 0.0000 0.0000 0.0000
Dy1 Dy 0.3333 0.6667 0.2500
Ge1 Ge 0.3333 0.6667 0.7500
Cl1 Cl 0.0042 0.3553 0.1319

***

# PrDyGeCl (PBE, relaxed)
# Electronic total energy: -0.36104 Ry per atom
data_PrDyGeCl
_chemical_formula_sum 'Pr2 Dy2 Ge2 Cl2'
_cell_length_a 5.8463
_cell_length_b 4.9056
_cell_length_c 8.5985
_cell_angle_alpha 90.00
_cell_angle_beta 90.00
_cell_angle_gamma 90.00
_symmetry_space_group_name_H-M 'A m m 2'
_symmetry_Int_Tables_number 38
loop_
_symmetry_equiv_pos_as_xyz
'x,y,z'
'-x,-y,z'
'-x,y,z'
'x,-y,z'
'x,y+1/2,z+1/2'
'-x,-y+1/2,z+1/2'
'-x,y+1/2,z+1/2'
'x,-y+1/2,z+1/2'
loop_
_atom_site_label
_atom_site_type_symbol
_atom_site_fract_x
_atom_site_fract_y
_atom_site_fract_z
Pr1 Pr 0.0000 0.0000 0.0000
Dy1 Dy 0.5000 0.0000 0.6690
Ge1 Ge 0.5000 0.0000 0.0005
Cl1 Cl 0.0000 0.0000 0.6690

***

# RbDyGe2Cl8 (PBE, relaxed)
# Electronic total energy: -0.28981 Ry per atom
data_RbDyGe2Cl8
_chemical_formula_sum 'Rb1 Dy1 Ge2 Cl8'
_cell_length_a 6.3222
_cell_length_b 7.0236
_cell_length_c 9.3529
_cell_angle_alpha 93.05
_cell_angle_beta 91.37
_cell_angle_gamma 95.75
_symmetry_space_group_name_H-M 'P -1'
_symmetry_Int_Tables_number 2
loop_
_symmetry_equiv_pos_as_xyz
'x,y,z'
'-x,-y,-z'
loop_
_atom_site_label
_atom_site_type_symbol
_atom_site_fract_x
_atom_site_fract_y
_atom_site_fract_z
Rb1 Rb 0.0000 0.0000 0.0000
Dy1 Dy 0.0000 0.0000 0.5000
Ge1 Ge 0.4540 0.5619 0.2819
Cl1 Cl 0.2122 0.1897 0.3076
Cl2 Cl 0.2238 0.6935 0.4601
Cl3 Cl 0.2728 0.6324 0.0806
Cl4 Cl 0.2776 0.1271 0.7127

***

# Dy4GeS2Cl (PBE, relaxed)
# Electronic total energy: -0.42070 Ry per atom
data_Dy4GeS2Cl
_chemical_formula_sum 'Dy4 Ge1 S2 Cl1'
_cell_length_a 6.9276
_cell_length_b 3.9824
_cell_length_c 6.9383
_cell_angle_alpha 90.00
_cell_angle_beta 109.06
_cell_angle_gamma 90.00
_symmetry_space_group_name_H-M 'P 1 2/m 1'
_symmetry_Int_Tables_number 10
loop_
_symmetry_equiv_pos_as_xyz
'x,y,z'
'-x,-y,-z'
'-x,y,-z'
'x,-y,z'
loop_
_atom_site_label
_atom_site_type_symbol
_atom_site_fract_x
_atom_site_fract_y
_atom_site_fract_z
Dy1 Dy 0.2257 0.0000 0.2263
Dy2 Dy 0.2403 0.5000 0.7615
Ge1 Ge 0.0000 0.0000 0.5000
S1 S 0.0000 0.5000 0.0000
S2 S 0.5000 0.0000 0.0000
Cl1 Cl 0.5000 0.5000 0.5000

***

# Dy3GeSCl (PBE, relaxed)
# Electronic total energy: -0.40234 Ry per atom
data_Dy3GeSCl
_chemical_formula_sum 'Dy6 Ge2 S2 Cl2'
_cell_length_a 7.3368
_cell_length_b 3.9170
_cell_length_c 10.5643
_cell_angle_alpha 90.00
_cell_angle_beta 107.42
_cell_angle_gamma 90.00
_symmetry_space_group_name_H-M 'P 1 21/m 1'
_symmetry_Int_Tables_number 11
loop_
_symmetry_equiv_pos_as_xyz
'x,y,z'
'-x,-y,-z'
'-x,y+1/2,-z'
'x,-y+1/2,z'
loop_
_atom_site_label
_atom_site_type_symbol
_atom_site_fract_x
_atom_site_fract_y
_atom_site_fract_z
Dy1 Dy 0.1718 0.2500 0.1449
Dy2 Dy 0.1985 0.2500 0.4907
Dy3 Dy 0.3063 0.7500 0.8378
Ge1 Ge 0.0057 0.2500 0.7022
S1 S 0.4105 0.7500 0.1079
Cl1 Cl 0.4689 0.7500 0.6212

***

# Dy4GeSe2Cl (PBE, relaxed)
# Electronic total energy: -0.40028 Ry per atom
data_Dy4GeSe2Cl
_chemical_formula_sum 'Dy4 Ge1 Se2 Cl1'
_cell_length_a 7.0617
_cell_length_b 4.0964
_cell_length_c 7.0837
_cell_angle_alpha 90.00
_cell_angle_beta 109.25
_cell_angle_gamma 90.00
_symmetry_space_group_name_H-M 'P 1 2/m 1'
_symmetry_Int_Tables_number 10
loop_
_symmetry_equiv_pos_as_xyz
'x,y,z'
'-x,-y,-z'
'-x,y,-z'
'x,-y,z'
loop_
_atom_site_label
_atom_site_type_symbol
_atom_site_fract_x
_atom_site_fract_y
_atom_site_fract_z
Dy1 Dy 0.2412 0.0000 0.2283
Dy2 Dy 0.2561 0.5000 0.7663
Ge1 Ge 0.5000 0.0000 0.0000
Se1 Se 0.0000 0.0000 0.5000
Se2 Se 0.0000 0.5000 0.0000
Cl1 Cl 0.5000 0.5000 0.5000

***

# DyTlGeCl6 (PBE, relaxed)
# Electronic total energy: -0.29760 Ry per atom
data_DyTlGeCl6
_chemical_formula_sum 'Dy1 Tl1 Ge1 Cl6'
_cell_length_a 6.9875
_cell_length_b 6.9875
_cell_length_c 7.0177
_cell_angle_alpha 90.00
_cell_angle_beta 90.00
_cell_angle_gamma 120.00
_symmetry_space_group_name_H-M 'P 3 1 2'
_symmetry_Int_Tables_number 149
loop_
_symmetry_equiv_pos_as_xyz
'x,y,z'
'-y,x-y,z'
'-x+y,-x,z'
'-y,-x,-z'
'-x+y,y,-z'
'x,x-y,-z'
loop_
_atom_site_label
_atom_site_type_symbol
_atom_site_fract_x
_atom_site_fract_y
_atom_site_fract_z
Dy1 Dy 0.0000 0.0000 0.0000
Tl1 Tl 0.3333 0.6667 0.5000
Ge1 Ge 0.6667 0.3333 0.0000
Cl1 Cl 0.3296 0.0354 0.2146